Version a
DFT (PBE) results for a relaxed structure of MnPd2Au3.

Summary:
Magnetic moment = 18.5 μB per cell

abc: 14.1625 2.8826 11.2647
angles: 90.00 116.06 90.00
Closest atoms and distances in Å follow each position.
Space group C2/m (No. 12)
Symmetry-distinct sites (fractional):
Mn: 0.0717 0.0000 0.1569 (multiplicity 4)  4 Pd 2.58-2.71, 2 Au 2.82, 2 Mn 2.88
Pd: 0.1314 0.0000 0.9618 (multiplicity 4)  2 Mn 2.58-2.68, 5 Au 2.78-2.84, 2 Pd 2.88
Pd: 0.1788 0.5000 0.3797 (multiplicity 4)  2 Mn 2.71, 5 Au 2.76-2.81, 4 Pd 2.88-2.95
Au: 0.0402 0.5000 0.7205 (multiplicity 4)  3 Pd 2.80-2.84, 8 Au 2.88-3.09, 2 Mn 2.90
Au: 0.1064 0.0000 0.5381 (multiplicity 4)  6 Au 2.75-2.98, 3 Pd 2.76-2.81
Au: 0.2470 0.0000 0.8105 (multiplicity 4)  4 Pd 2.77-2.84, 2 Mn 2.82, 5 Au 2.83-3.01

Version b
DFT (PBE) results for a relaxed structure of MnPd2Au3.

Summary:
Magnetic moment = 18.2 μB per cell

abc: 5.7028 8.1588 9.0202
angles: 90.00 107.92 90.00
Closest atoms and distances in Å follow each position.
Space group C2/c (No. 15)
Symmetry-distinct sites (fractional):
Mn: 0.0000 0.1243 0.2500 (multiplicity 4)  6 Au 2.85-2.87, 6 Pd 2.86-2.88
Pd: 0.1664 0.1248 0.5834 (multiplicity 8)  7 Au 2.84-2.89, 3 Mn 2.86-2.88, 2 Pd 2.87
Au: 0.0000 0.3749 0.7500 (multiplicity 4)  2 Mn 2.85, 6 Au 2.86-2.88, 4 Pd 2.86-2.88
Au: 0.1674 0.3747 0.0858 (multiplicity 8)  5 Pd 2.84-2.89, 2 Mn 2.85-2.87, 5 Au 2.86-2.90

The data favor version b; the next most stable structure lies 103 meV/atom above it.

Version a
DFT (PBE) results for a relaxed structure of Mn4Pd5Au.

Summary:
Magnetic moment = 0.0 μB per cell

abc: 2.6791 2.6791 19.2558
angles: 90.00 90.00 90.00
Closest atoms and distances in Å follow each position.
Space group P4/mmm (No. 123)
Symmetry-distinct sites (fractional):
Mn: 0.0000 0.0000 0.0967 (multiplicity 2)  8 Pd 2.65-2.66, 4 Mn 2.68
Mn: 0.0000 0.0000 0.2914 (multiplicity 2)  8 Pd 2.58-2.68, 4 Mn 2.68
Pd: 0.5000 0.5000 0.0000 (multiplicity 1)  8 Mn 2.66, 4 Pd 2.68
Pd: 0.5000 0.5000 0.1930 (multiplicity 2)  8 Mn 2.65-2.68, 4 Pd 2.68
Pd: 0.5000 0.5000 0.3824 (multiplicity 2)  4 Mn 2.58, 4 Pd 2.68
Au: 0.0000 0.0000 0.5000 (multiplicity 1)  4 Au 2.68, 8 Pd 2.95

Version b
DFT (PBE) results for a relaxed structure of Mn4Pd5Au.

Summary:
Magnetic moment = 36.2 μB per cell

abc: 14.3052 4.1122 5.4974
angles: 90.00 106.94 90.00
Closest atoms and distances in Å follow each position.
Space group C2/m (No. 12)
Symmetry-distinct sites (fractional):
Mn: 0.0949 0.0000 0.3399 (multiplicity 4)  8 Pd 2.71-2.81, 2 Au 2.84, 2 Mn 3.01
Mn: 0.2009 0.5000 0.1191 (multiplicity 4)  7 Pd 2.64-2.78, 1 Au 2.76
Pd: 0.0000 0.5000 0.5000 (multiplicity 2)  4 Mn 2.75, 2 Au 2.75, 6 Pd 2.82-2.91
Pd: 0.1093 0.0000 0.8416 (multiplicity 4)  6 Mn 2.66-2.81, 2 Au 2.87, 4 Pd 2.91-2.94
Pd: 0.2056 0.5000 0.6176 (multiplicity 4)  7 Mn 2.64-2.79, 5 Pd 2.82-2.94
Au: 0.0000 0.5000 0.0000 (multiplicity 2)  6 Pd 2.75-2.87, 6 Mn 2.76-2.84

The data favor version b; the next most stable structure lies 449 meV/atom above it.

Version a
DFT (PBE) results for a relaxed structure of Mn2Pd2Au.

Summary:
Magnetic moment = 17.0 μB per cell

abc: 8.7774 3.9426 6.1514
angles: 90.00 132.66 90.00
Closest atoms and distances in Å follow each position.
Space group C2/m (No. 12)
Symmetry-distinct sites (fractional):
Mn: 0.0863 0.0000 0.2890 (multiplicity 4)  6 Pd 2.73-2.81, 3 Au 2.73-2.91, 3 Mn 2.76-2.96
Pd: 0.1994 0.5000 0.1142 (multiplicity 4)  6 Mn 2.73-2.81, 3 Pd 2.75-2.89, 3 Au 2.83-2.89
Au: 0.0000 0.5000 0.5000 (multiplicity 2)  6 Mn 2.73-2.91, 6 Pd 2.83-2.89

Version b
DFT (PBE) results for a relaxed structure of Mn2Pd2Au.

Summary:
Magnetic moment = 0.4 μB per cell

abc: 7.3763 7.3763 2.6886
angles: 90.00 90.00 90.00
Closest atoms and distances in Å follow each position.
Space group P4/mbm (No. 127)
Symmetry-distinct sites (fractional):
Mn: 0.1701 0.3299 0.0000 (multiplicity 4)  6 Pd 2.51-2.59, 2 Mn 2.69
Pd: 0.1269 0.6269 0.5000 (multiplicity 4)  6 Mn 2.51-2.59, 3 Pd 2.65-2.69
Au: 0.0000 0.0000 0.5000 (multiplicity 2)  2 Au 2.69, 4 Pd 2.91

The data favor version a; the next most stable structure lies 610 meV/atom above it.

Version a
DFT (PBE) results for a relaxed structure of Mn2Pd2Au.

Summary:
Magnetic moment = 6.5 μB per cell

abc: 3.8422 3.8422 10.4872
angles: 90.00 90.00 90.00
Closest atoms and distances in Å follow each position.
Space group I4/mmm (No. 139)
Symmetry-distinct sites (fractional):
Mn: 0.0000 0.0000 0.0913 (multiplicity 4)  1 Mn 1.92
Pd: 0.0000 0.5000 0.2500 (multiplicity 4)  4 Mn 2.54, 4 Pd 2.72
Au: 0.0000 0.0000 0.5000 (multiplicity 2)  8 Mn 2.88

Version b
DFT (PBE) results for a relaxed structure of Mn2Pd2Au.

Summary:
Magnetic moment = 17.5 μB per cell

abc: 7.4686 7.4686 2.9192
angles: 90.00 90.00 90.00
Closest atoms and distances in Å follow each position.
Space group P4/mbm (No. 127)
Symmetry-distinct sites (fractional):
Mn: 0.1514 0.3486 0.0000 (multiplicity 4)  6 Pd 2.62-2.64, 2 Au 2.84, 2 Mn 2.92
Pd: 0.1432 0.6432 0.5000 (multiplicity 4)  6 Mn 2.62-2.64, 2 Pd 2.92
Au: 0.0000 0.0000 0.0000 (multiplicity 2)  4 Mn 2.84, 2 Au 2.92

The data favor version b; the next most stable structure lies 308 meV/atom above it.

Version a
DFT (PBE) results for a relaxed structure of MnPd6Au3.

Summary:
Magnetic moment = 19.6 μB per cell

abc: 8.8394 15.1434 4.9614
angles: 90.00 90.00 90.00
Closest atoms and distances in Å follow each position.
Space group Cmc2_1 (No. 36)
Symmetry-distinct sites (fractional):
Mn: 0.0000 0.2186 0.0000 (multiplicity 4)  7 Pd 2.56-2.79, 3 Au 2.68-2.72
Pd: 0.0000 0.0612 0.2070 (multiplicity 4)  1 Mn 2.60, 4 Au 2.86-2.88
Pd: 0.0000 0.2911 0.5160 (multiplicity 4)  2 Mn 2.64-2.79, 6 Pd 2.66-2.85, 1 Au 2.69
Pd: 0.1625 0.4499 0.6229 (multiplicity 8)  6 Pd 2.72-3.02, 4 Au 2.74-2.81
Pd: 0.2406 0.2117 0.2866 (multiplicity 8)  2 Mn 2.56-2.74, 5 Pd 2.66-2.74, 1 Au 2.71
Au: 0.0000 0.3941 0.0737 (multiplicity 4)  1 Mn 2.68, 5 Pd 2.69-2.79
Au: 0.1621 0.1025 0.6956 (multiplicity 8)  7 Pd 2.71-2.98, 1 Mn 2.72, 1 Au 2.87

Version b
DFT (PBE) results for a relaxed structure of MnPd6Au3.

Summary:
Magnetic moment = 9.9 μB per cell

abc: 2.8954 4.8534 22.9741
angles: 90.00 90.12 90.00
Closest atoms and distances in Å follow each position.
Space group P2_1/c (No. 14)
Symmetry-distinct sites (fractional):
Mn: 0.0000 0.0000 0.0000 (multiplicity 2)  6 Pd 2.72-2.79, 4 Au 2.83, 2 Mn 2.90
Pd: 0.0001 0.1573 0.4025 (multiplicity 4)  4 Au 2.77-2.83, 1 Mn 2.79, 7 Pd 2.79-2.90
Pd: 0.9997 0.1891 0.6970 (multiplicity 4)  6 Au 2.80-2.83, 5 Pd 2.84-2.90
Pd: 0.4999 0.1498 0.0950 (multiplicity 4)  2 Mn 2.72, 2 Au 2.77-2.89, 8 Pd 2.79-2.90
Au: 0.5000 0.0000 0.5000 (multiplicity 2)  6 Pd 2.77-2.78, 4 Mn 2.83, 2 Au 2.90
Au: 0.5003 0.1884 0.8017 (multiplicity 4)  9 Pd 2.80-2.89, 2 Au 2.90

The data favor version b; the next most stable structure lies 104 meV/atom above it.

Version a
DFT (PBE) results for a relaxed structure of MnPd5Au2.

Summary:
Magnetic moment = 10.1 μB per cell

abc: 5.6926 5.6926 7.8849
angles: 90.00 90.00 90.00
Closest atoms and distances in Å follow each position.
Space group I4/mmm (No. 139)
Symmetry-distinct sites (fractional):
Mn: 0.0000 0.0000 0.0000 (multiplicity 2)  8 Pd 2.82, 4 Au 2.85
Pd: 0.0000 0.0000 0.5000 (multiplicity 2)  8 Pd 2.82, 4 Au 2.85
Pd: 0.2500 0.2500 0.2500 (multiplicity 8)  2 Mn 2.82, 6 Pd 2.82-2.85, 4 Au 2.82
Au: 0.0000 0.5000 0.0000 (multiplicity 4)  10 Pd 2.82-2.85, 2 Mn 2.85

Version b
DFT (PBE) results for a relaxed structure of MnPd5Au2.

Summary:
Magnetic moment = 19.4 μB per cell

abc: 7.0081 7.0081 10.8740
angles: 90.00 90.00 90.00
Closest atoms and distances in Å follow each position.
Space group I4/mcm (No. 140)
Symmetry-distinct sites (fractional):
Mn: 0.0000 0.0000 0.2500 (multiplicity 4)  10 Pd 2.72-2.81
Pd: 0.0000 0.0000 0.0000 (multiplicity 4)  4 Au 2.68, 2 Mn 2.72
Pd: 0.1503 0.3497 0.1678 (multiplicity 16)  4 Pd 2.66-2.98, 3 Au 2.72-2.76, 2 Mn 2.81
Au: 0.1457 0.3543 0.5000 (multiplicity 8)  8 Pd 2.68-2.76, 1 Au 2.89

The data favor version a; the next most stable structure lies 157 meV/atom above it.

Version a
DFT (PBE) results for a relaxed structure of Mn2Pd3Au6.

Summary:
Magnetic moment = 9.0 μB per cell

abc: 5.0234 6.2745 6.4855
angles: 107.93 97.17 104.18
Closest atoms and distances in Å follow each position.
Space group P-1 (No. 2)
Symmetry-distinct sites (fractional):
Mn: 0.1422 0.0521 0.2337 (multiplicity 2)  3 Pd 2.74-2.81, 8 Au 2.83-2.93, 1 Mn 2.98
Pd: 0.2208 0.3887 0.0422 (multiplicity 2)  2 Mn 2.74-2.80, 7 Au 2.80-2.94, 3 Pd 2.91-3.01
Pd: 0.5000 0.5000 0.5000 (multiplicity 1)  2 Mn 2.81, 8 Au 2.82-2.92, 2 Pd 2.91
Au: 0.0449 0.6815 0.4027 (multiplicity 2)  2 Mn 2.83-2.85, 6 Au 2.84-2.96, 4 Pd 2.88-2.92
Au: 0.3121 0.7754 0.8673 (multiplicity 2)  4 Pd 2.83-2.94, 5 Au 2.84-2.96, 3 Mn 2.84-2.92
Au: 0.4099 0.1409 0.6815 (multiplicity 2)  3 Pd 2.80-2.93, 6 Au 2.84-2.91, 3 Mn 2.87-2.93

Version b
DFT (PBE) results for a relaxed structure of Mn2Pd3Au6.

Summary:
Magnetic moment = 18.7 μB per cell

abc: 3.9094 3.9094 26.8357
angles: 90.00 90.00 90.00
Closest atoms and distances in Å follow each position.
Space group I4/mmm (No. 139)
Symmetry-distinct sites (fractional):
Mn: 0.0000 0.0000 0.1459 (multiplicity 4)  5 Au 2.61-2.76, 4 Pd 2.77
Pd: 0.0000 0.0000 0.3453 (multiplicity 4)  5 Au 2.74-2.94, 4 Mn 2.77
Pd: 0.0000 0.0000 0.5000 (multiplicity 2)  8 Au 2.77
Au: 0.0000 0.0000 0.2430 (multiplicity 4)  1 Mn 2.61, 1 Pd 2.74, 4 Au 2.79
Au: 0.0000 0.5000 0.0731 (multiplicity 8)  2 Mn 2.76, 4 Au 2.76, 4 Pd 2.77-2.94

The data favor version a; the next most stable structure lies 217 meV/atom above it.

Version a
DFT (PBE) results for a relaxed structure of MnPd4Au7.

Summary:
Magnetic moment = 9.6 μB per cell

abc: 10.3312 4.9834 10.0143
angles: 90.00 120.56 90.00
Closest atoms and distances in Å follow each position.
Space group C2/m (No. 12)
Symmetry-distinct sites (fractional):
Mn: 0.0000 0.0000 0.0000 (multiplicity 2)  4 Au 2.49-2.57
Pd: 0.0800 0.5000 0.7727 (multiplicity 4)  8 Au 2.75-2.86, 1 Pd 2.84
Pd: 0.2269 0.5000 0.3106 (multiplicity 4)  7 Au 2.76-2.97, 1 Pd 2.84
Au: 0.0000 0.5000 0.0000 (multiplicity 2)  2 Mn 2.49, 2 Au 2.78, 4 Pd 2.78-2.79
Au: 0.0421 0.0000 0.3772 (multiplicity 4)  5 Au 2.74-3.00, 4 Pd 2.81-2.97
Au: 0.1559 0.5000 0.5456 (multiplicity 4)  5 Pd 2.76-2.86, 4 Au 2.81-2.90
Au: 0.1999 0.0000 0.9193 (multiplicity 4)  1 Mn 2.57, 4 Au 2.74-2.86, 4 Pd 2.75-2.84

Version b
DFT (PBE) results for a relaxed structure of MnPd4Au7.

Summary:
Magnetic moment = 4.7 μB per cell

abc: 5.0003 5.7728 7.5773
angles: 101.23 109.13 90.04
Closest atoms and distances in Å follow each position.
Space group P-1 (No. 2)
Symmetry-distinct sites (fractional):
Mn: 0.0000 0.0000 0.0000 (multiplicity 1)  4 Pd 2.80-2.83, 8 Au 2.87-2.89
Pd: 0.9998 0.3266 0.3264 (multiplicity 2)  1 Mn 2.80, 8 Au 2.83-2.93, 3 Pd 2.84-2.98
Pd: 0.4931 0.0805 0.3287 (multiplicity 2)  8 Au 2.83-2.91, 1 Mn 2.83, 3 Pd 2.84-2.91
Au: 0.0000 0.5000 0.0000 (multiplicity 1)  2 Pd 2.84, 8 Au 2.87-2.92, 2 Mn 2.89
Au: 0.0045 0.8356 0.3349 (multiplicity 2)  6 Pd 2.84-2.93, 5 Au 2.84-2.90, 1 Mn 2.87
Au: 0.4921 0.4169 0.6616 (multiplicity 2)  6 Au 2.82-2.92, 6 Pd 2.86-2.91
Au: 0.4986 0.7548 0.9982 (multiplicity 2)  7 Au 2.83-2.95, 3 Pd 2.83, 2 Mn 2.87

The data favor version b; the next most stable structure lies 229 meV/atom above it.

Version a
DFT (PBE) results for a relaxed structure of MnPd2Au2.

Summary:
Magnetic moment = 9.6 μB per cell

abc: 6.7259 6.7259 3.9130
angles: 90.00 90.00 90.00
Closest atoms and distances in Å follow each position.
Space group P4/mbm (No. 127)
Symmetry-distinct sites (fractional):
Mn: 0.0000 0.0000 0.0000 (multiplicity 2)  4 Pd 2.59
Pd: 0.1413 0.3587 0.0000 (multiplicity 4)  2 Mn 2.59, 1 Pd 2.69, 6 Au 2.72-2.82
Au: 0.1600 0.6600 0.5000 (multiplicity 4)  6 Pd 2.72-2.82, 1 Au 3.04

Version b
DFT (PBE) results for a relaxed structure of MnPd2Au2.

Summary:
Magnetic moment = 9.5 μB per cell

abc: 3.6812 3.6812 13.6261
angles: 90.00 90.00 90.00
Closest atoms and distances in Å follow each position.
Space group I4/mmm (No. 139)
Symmetry-distinct sites (fractional):
Mn: 0.0000 0.0000 0.0000 (multiplicity 2)  8 Au 2.92
Pd: 0.0000 0.5000 0.2500 (multiplicity 4)  4 Pd 2.60, 4 Au 2.78
Au: 0.0000 0.0000 0.4025 (multiplicity 4)  1 Au 2.66, 4 Pd 2.78, 4 Mn 2.92

The data favor version a; the next most stable structure lies 144 meV/atom above it.

Version a
DFT (PBE) results for a relaxed structure of MnPdAu3.

Summary:
Magnetic moment = 17.9 μB per cell

abc: 6.4166 7.3822 7.5340
angles: 90.00 90.00 90.00
Closest atoms and distances in Å follow each position.
Space group Pnma (No. 62)
Symmetry-distinct sites (fractional):
Mn: 0.0000 0.0000 0.0000 (multiplicity 4)  2 Pd 2.60, 4 Au 2.70-2.72
Pd: 0.2200 0.2500 0.4529 (multiplicity 4)  2 Mn 2.60, 7 Au 2.79-2.88
Au: 0.1268 0.5551 0.6628 (multiplicity 8)  2 Mn 2.70-2.72, 3 Pd 2.79-2.82, 4 Au 2.87-2.96
Au: 0.1727 0.7500 0.3245 (multiplicity 4)  6 Au 2.87-2.96, 2 Pd 2.88-3.03, 2 Mn 3.09

Version b
DFT (PBE) results for a relaxed structure of MnPdAu3.

Summary:
Magnetic moment = 9.1 μB per cell

abc: 5.3095 7.4066 5.3162
angles: 90.00 118.49 90.00
Closest atoms and distances in Å follow each position.
Space group P2_1/m (No. 11)
Symmetry-distinct sites (fractional):
Mn: 0.1578 0.2500 0.3274 (multiplicity 2)  2 Pd 2.59-2.72, 4 Au 2.63-2.77
Pd: 0.3352 0.7500 0.6849 (multiplicity 2)  2 Mn 2.59-2.72, 4 Au 2.69-2.77
Au: 0.1511 0.2500 0.8185 (multiplicity 2)  2 Mn 2.63-2.69, 2 Pd 2.69-2.75, 2 Au 2.91
Au: 0.3458 0.5653 0.1884 (multiplicity 4)  4 Au 2.74-3.02, 3 Pd 2.77-3.00, 2 Mn 2.77-3.00

The data favor version a; the next most stable structure lies 52 meV/atom above it.